Material: Pr6Hg2O
Method: DFT, PBE-GGA
State: optimized geometry

a b c (Å): 6.744 7.286 10.804
angles (deg): 90.00 90.13 90.00
Atoms (fractional coordinates):
Pr 0.890 0.992 0.262
Pr 0.821 0.703 0.538
Pr 0.817 0.690 0.962
Pr 0.683 0.190 0.538
Pr 0.679 0.203 0.962
Pr 0.610 0.492 0.238
Pr 0.110 0.008 0.738
Pr 0.179 0.297 0.462
Pr 0.183 0.310 0.038
Pr 0.317 0.810 0.462
Pr 0.321 0.797 0.038
Pr 0.390 0.508 0.762
Hg 0.925 0.412 0.748
Hg 0.575 0.912 0.752
Hg 0.425 0.088 0.248
Hg 0.075 0.588 0.252
O 0.500 0.500 0.000
O 0.000 0.000 0.500

Computed properties:
excess energy over the best structure of this formula in the dataset: 0 meV per atom
E: -4.5629 eV per atom
ΔE_f (raw): -759 meV/atom
space group: P2_1/c (14)

***

Material: Pr3HgO
Method: DFT, PBE-GGA
State: optimized geometry

a b c (Å): 5.013 5.013 5.013
angles (deg): 90.00 90.00 90.00
Atoms (fractional coordinates):
Pr 0.000 0.500 0.000
Pr 0.000 0.000 0.500
Pr 0.500 0.000 0.000
Hg 0.500 0.500 0.500
O 0.000 0.000 0.000

Computed properties:
E: -5.2349 eV per atom
ΔE_f (raw): -1315 meV/atom
space group: Pm-3m (221)

***

Material: Pr2HgO4
Method: DFT, PBE-GGA
State: optimized geometry

a b c (Å): 3.885 7.314 9.318
angles (deg): 76.38 77.97 74.60
Atoms (fractional coordinates):
Pr 0.620 0.219 0.541
Pr 0.159 0.481 0.202
Pr 0.841 0.519 0.798
Pr 0.380 0.781 0.459
Hg 0.885 0.069 0.161
Hg 0.115 0.931 0.839
O 0.227 0.155 0.390
O 0.796 0.350 0.059
O 0.037 0.204 0.722
O 0.580 0.494 0.346
O 0.420 0.506 0.654
O 0.963 0.796 0.278
O 0.204 0.650 0.941
O 0.773 0.845 0.610

Computed properties:
E: -6.7506 eV per atom
ΔE_f (raw): -2509 meV/atom
space group: C2/m (12)

***

Material: Pr3Hg2O2
Method: DFT, PBE-GGA
State: optimized geometry

a b c (Å): 4.956 5.758 6.743
angles (deg): 102.25 90.00 115.49
Atoms (fractional coordinates):
Pr 0.000 0.000 0.000
Pr 0.663 0.326 0.358
Pr 0.337 0.674 0.642
Hg 0.662 0.323 0.878
Hg 0.338 0.677 0.122
O 0.844 0.689 0.647
O 0.156 0.311 0.353

Computed properties:
E: -5.0762 eV per atom
ΔE_f (raw): -1525 meV/atom
space group: C2/m (12)

***

Material: Pr2HgO
Method: DFT, PBE-GGA
State: optimized geometry

a b c (Å): 3.770 3.770 8.014
angles (deg): 76.40 76.40 60.00
Atoms (fractional coordinates):
Pr 0.059 0.059 0.824
Pr 0.273 0.273 0.182
Hg 0.499 0.499 0.503
O 0.670 0.670 0.990

Computed properties:
excess energy over the best structure of this formula in the dataset: 69 meV per atom
E: -5.1597 eV per atom
ΔE_f (raw): -1455 meV/atom
space group: R3m (160)

***

Material: Pr3HgO6
Method: DFT, PBE-GGA
State: optimized geometry

a b c (Å): 5.863 7.553 7.553
angles (deg): 101.93 90.00 90.00
Atoms (fractional coordinates):
Pr 0.472 0.911 0.684
Pr 0.972 0.684 0.911
Pr 0.416 0.398 0.602
Pr 0.916 0.602 0.398
Pr 0.972 0.089 0.316
Pr 0.472 0.316 0.089
Hg 0.972 0.154 0.846
Hg 0.472 0.846 0.154
O 0.195 0.674 0.643
O 0.695 0.643 0.674
O 0.194 0.420 0.898
O 0.694 0.898 0.420
O 0.241 0.022 0.978
O 0.635 0.220 0.780
O 0.135 0.780 0.220
O 0.741 0.978 0.022
O 0.194 0.102 0.580
O 0.694 0.580 0.102
O 0.195 0.357 0.326
O 0.695 0.326 0.357

Computed properties:
E: -6.9195 eV per atom
ΔE_f (raw): -2481 meV/atom
space group: Cmc2_1 (36)

***

What did the second record say?
Material: Pr3HgO
Method: DFT, PBE-GGA
State: optimized geometry

a b c (Å): 5.013 5.013 5.013
angles (deg): 90.00 90.00 90.00
Atoms (fractional coordinates):
Pr 0.000 0.500 0.000
Pr 0.000 0.000 0.500
Pr 0.500 0.000 0.000
Hg 0.500 0.500 0.500
O 0.000 0.000 0.000

Computed properties:
E: -5.2349 eV per atom
ΔE_f (raw): -1315 meV/atom
space group: Pm-3m (221)

***

> ΔE_f (raw) of number 1 (Pr6Hg2O)?

-759 meV/atom

***

> The lowest ΔE_f (raw) belongs to which entry?

Pr2HgO4

***

> Which formula does entry 1 have?

Pr6Hg2O